(1)
Computed, not measured: an optimized crystal structure of TiOs at the PBE level of DFT.

POSCAR file:
```
TiOs
1.0
-7.077 -1.603 2.144
5.857 -2.879 3.829
0.003 3.349 2.513
Ti Os
6 6
Direct
0.839 0.678 0.250 Ti
0.161 0.839 0.750 Ti
0.322 0.161 0.250 Ti
0.161 0.322 0.750 Ti
0.839 0.161 0.250 Ti
0.678 0.839 0.750 Ti
0.447 0.893 0.250 Os
0.553 0.447 0.750 Os
0.107 0.553 0.250 Os
0.553 0.107 0.750 Os
0.447 0.553 0.250 Os
0.893 0.447 0.750 Os
```

**Density of states at the Fermi level**: 14.92 states/eV/cell
**E_form**: 0.018 eV per atom

=====

(2)
Computed, not measured: an optimized crystal structure of PmScRuO6 at the PBE level of DFT.

POSCAR file:
```
PmScRuO6
1.0
5.498 0.000 0.000
-2.749 4.762 0.000
0.000 0.000 8.798
Pm Sc Ru O
2 2 2 12
Direct
0.333 0.667 0.250 Pm
0.667 0.333 0.750 Pm
0.000 0.000 0.000 Sc
0.000 0.000 0.500 Sc
0.667 0.333 0.250 Ru
0.333 0.667 0.750 Ru
0.695 0.639 0.125 O
0.944 0.305 0.125 O
0.305 0.944 0.625 O
0.056 0.695 0.875 O
0.361 0.305 0.375 O
0.944 0.639 0.375 O
0.639 0.944 0.875 O
0.695 0.056 0.375 O
0.056 0.361 0.625 O
0.361 0.056 0.125 O
0.639 0.695 0.625 O
0.305 0.361 0.875 O
```

**Raw formation energy**: -19.367 eV/f.u.
**Density of states at the Fermi level**: 8.51 states/eV/cell

=====

(3)
Computed, not measured: an optimized crystal structure of La4Pr3Hg at the PBE level of DFT.

POSCAR file:
```
La4Pr3Hg
1.0
-2.970 -1.387 -1.887
2.301 -2.299 -1.930
-2.280 -13.829 13.754
Pr Hg La
3 1 4
Direct
0.500 0.500 0.237 Pr
0.500 0.500 0.500 Pr
0.500 0.500 0.763 Pr
0.500 0.500 0.000 Hg
0.000 0.000 0.896 La
0.000 0.000 0.104 La
0.000 0.000 0.368 La
0.000 0.000 0.632 La
```

**Density of states at the Fermi level**: 12.98 states/eV/cell
**E_form**: -0.113 eV per atom